{
  "formula": "CeNd5S6",
  "functional": "PBE",
  "state": "optimized geometry",
  "raw_formation_energy_ev_per_atom": -2.0337,
  "energy_ev_per_atom": -6.58,
  "lattice": [[-6.5520, 1.9731, 1.6376], [-0.4909, 1.0031, 6.9448], [1.3306, 6.3431, 2.7401]],
  "species": ["S", "S", "S", "S", "S", "S", "Nd", "Nd", "Nd", "Nd", "Nd", "Ce"],
  "frac_coords": [[0.7523, 0.0828, 0.3297], [0.2477, 0.5875, 0.3297], [0.2501, 0.2470, 0.0000], [0.7499, 0.7530, 0.0000], [0.7523, 0.4125, 0.6703], [0.2477, 0.9172, 0.6703], [0.5000, 0.1699, 0.6602], [0.0000, 0.3326, 0.3348], [0.5000, 0.5000, 0.0000], [0.0000, 0.6674, 0.6652], [0.5000, 0.8301, 0.3398], [0.0000, 0.0000, 0.0000]]
}

=====

{
  "formula": "CeNd4S5",
  "functional": "PBE",
  "state": "optimized geometry",
  "raw_formation_energy_ev_per_atom": -2.0320,
  "energy_ev_per_atom": -6.60,
  "lattice": [[-1.3430, -3.2223, -2.0536], [2.7891, -3.4718, 3.6235], [-8.9579, 2.9698, 5.1922]],
  "species": ["Ce", "Nd", "Nd", "Nd", "Nd", "S", "S", "S", "S", "S"],
  "frac_coords": [[0.0000, 0.0000, 0.0000], [0.4003, 0.4003, 0.8006], [0.8023, 0.8023, 0.6046], [0.1977, 0.1977, 0.3954], [0.5997, 0.5997, 0.1994], [0.5985, 0.0985, 0.1971], [0.7991, 0.2991, 0.5983], [0.2009, 0.7009, 0.4017], [0.0000, 0.5000, 0.0000], [0.4015, 0.9015, 0.8029]]
}

=====

{
  "formula": "CeNd3S6",
  "functional": "PBE",
  "state": "optimized geometry",
  "raw_formation_energy_ev_per_atom": -2.0189,
  "energy_ev_per_atom": -6.52,
  "lattice": [[4.1065, 0.0000, 0.0000], [0.0000, 11.3592, 0.1009], [0.0000, -3.6992, 11.0488]],
  "species": ["Ce", "Ce", "Nd", "Nd", "Nd", "Nd", "Nd", "Nd", "S", "S", "S", "S", "S", "S", "S", "S", "S", "S", "S", "S"],
  "frac_coords": [[0.7500, 0.0453, 0.6885], [0.2500, 0.9547, 0.3115], [0.7500, 0.4315, 0.8310], [0.2500, 0.5685, 0.1690], [0.7500, 0.6818, 0.5041], [0.2500, 0.3182, 0.4959], [0.7500, 0.1610, 0.0836], [0.2500, 0.8390, 0.9164], [0.7500, 0.4776, 0.6116], [0.2500, 0.5224, 0.3884], [0.7500, 0.9171, 0.0995], [0.2500, 0.0829, 0.9005], [0.7500, 0.4009, 0.0654], [0.2500, 0.5991, 0.9346], [0.7500, 0.7468, 0.2776], [0.2500, 0.2532, 0.7224], [0.7500, 0.1110, 0.4610], [0.2500, 0.8890, 0.5390], [0.7500, 0.8131, 0.7505], [0.2500, 0.1869, 0.2495]]
}

=====

{
  "formula": "CeNdS2",
  "functional": "PBE",
  "state": "optimized geometry",
  "raw_formation_energy_ev_per_atom": -2.0381,
  "energy_ev_per_atom": -6.78,
  "lattice": [[5.7243, 0.0000, 0.0000], [0.0000, 5.7243, 0.0000], [-2.8622, -2.8622, 5.7211]],
  "species": ["Ce", "Ce", "Nd", "Nd", "S", "S", "S", "S"],
  "frac_coords": [[0.7500, 0.2500, 0.5000], [0.0000, 0.0000, 0.0000], [0.5000, 0.5000, 0.0000], [0.2500, 0.7500, 0.5000], [0.7514, 0.7514, 0.5028], [0.5014, 0.0014, 0.0028], [0.2486, 0.2486, 0.4972], [0.9986, 0.4986, 0.9972]]
}